Compound: NiPIO2
Source: Alexandria via LeMat-Bulk
Functional: PBE with a Hubbard U
Structure: optimized geometry

Cell: 3.7028 3.7028 7.0711 Å, 90.00 90.00 90.00°
Site moments in Bohr magnetons follow the coordinates.
Element x y z (fractional)
I  0.0000  0.0000  0.5000  0.01
O  0.5000  0.0000  0.0000  0.68
P  0.5000  0.5000  0.5000  0.06
O  0.0000  0.5000  0.0000  0.68
Ni  0.0000  0.0000  0.0000  0.22

## Properties
* total magnetic moment: 1.945 μB/f.u.
* space group: P4/mmm, No. 123
* relative energy among the computed polymorphs: 0.615 eV/atom